# 1
VASP calculation (PBE-GGA) on a relaxed structure of Ce5Lu.

Unit cell a=3.2695 b=5.7273 c=9.0596 alpha=108.43 beta=90.00 gamma=90.00
Closest atoms and distances in Å follow each position.
Fractional positions:
Ce 0.0000 0.3469 0.6939  10 Ce 3.10-3.33
Ce 0.0000 0.6531 0.3061  10 Ce 3.10-3.33
Ce 0.5000 0.8193 0.6387  8 Ce 3.27-3.33, 2 Lu 3.51
Ce 0.5000 0.5000 0.0000  6 Ce 3.10-3.27, 4 Lu 3.30
Ce 0.5000 0.1807 0.3613  8 Ce 3.27-3.33, 2 Lu 3.51
Lu 0.0000 0.0000 0.0000  2 Lu 3.27, 8 Ce 3.30-3.51

Output
energy relative to the elements	0.151	eV/atom
E	-5.547	eV per atom



# 2
VASP calculation (PBE-GGA) on a relaxed structure of PmZnNiBi.

Unit cell a=4.9378 b=4.9378 c=4.9378 alpha=60.00 beta=60.00 gamma=60.00
Closest atoms and distances in Å follow each position.
Fractional positions:
Pm 0.0000 0.0000 0.0000  4 Zn 3.02, 4 Ni 3.02
Bi 0.5000 0.5000 0.5000  4 Ni 3.02, 4 Zn 3.02
Zn 0.7500 0.7500 0.7500  4 Pm 3.02, 4 Bi 3.02
Ni 0.2500 0.2500 0.2500  4 Bi 3.02, 4 Pm 3.02

Output
energy relative to the elements	-0.231	eV/atom
E	-4.153	eV per atom



# 3
VASP calculation (PBE-GGA) on a relaxed structure of CaReW2.

Unit cell a=4.7392 b=4.7392 c=3.0689 alpha=90.00 beta=90.00 gamma=90.00
Closest atoms and distances in Å follow each position.
Fractional positions:
W 0.0000 0.0000 0.0000  4 Re 2.82, 4 Ca 2.82, 2 W 3.07
W 0.5000 0.5000 0.0000  4 Re 2.82, 4 Ca 2.82, 2 W 3.07
Re 0.0000 0.5000 0.5000  8 W 2.82, 2 Re 3.07
Ca 0.5000 0.0000 0.5000  8 W 2.82, 2 Ca 3.07

Output
energy relative to the elements	0.929	eV/atom
E	-9.160	eV per atom



# 4
VASP calculation (PBE-GGA) on a relaxed structure of Th2Se5.

Unit cell a=8.0240 b=8.0305 c=10.7730 alpha=90.00 beta=90.00 gamma=90.00
Closest atoms and distances in Å follow each position.
Fractional positions:
Se 0.1120 0.6386 0.3975  1 Se 2.54
Se 0.8880 0.3614 0.6025  1 Se 2.54
Se 0.3880 0.1386 0.1025  1 Se 2.54
Se 0.8688 0.6177 0.1072  2 Se 2.91-2.99, 4 Th 3.02-3.14
Se 0.1312 0.3823 0.8928  2 Se 2.91-2.99, 4 Th 3.02-3.14
Se 0.1120 0.1386 0.6025  1 Se 2.54
Se 0.0000 0.2500 0.2501  4 Th 3.05
Se 0.6312 0.6177 0.6072  2 Se 2.91-2.99, 4 Th 3.02-3.14
Se 0.5000 0.2500 0.7501  4 Th 3.05
Se 0.3688 0.3823 0.3928  2 Se 2.91-2.99, 4 Th 3.02-3.14
Se 0.6120 0.8614 0.8975  1 Se 2.54
Se 0.3880 0.6386 0.8975  1 Se 2.54
Se 0.6312 0.1177 0.3928  2 Se 2.91-2.99, 4 Th 3.02-3.14
Se 0.5000 0.7500 0.2499  4 Th 3.05
Se 0.8688 0.1177 0.8928  2 Se 2.91-2.99, 4 Th 3.02-3.14
Se 0.3688 0.8823 0.6072  2 Se 2.91-2.99, 4 Th 3.02-3.14
Se 0.6120 0.3614 0.1025  1 Se 2.54
Se 0.1312 0.8823 0.1072  2 Se 2.91-2.99, 4 Th 3.02-3.14
Se 0.8880 0.8614 0.3975  1 Se 2.54
Se 0.0000 0.7500 0.7499  4 Th 3.05
Th 0.2400 0.5101 0.1473  10 Se 3.02-3.25
Th 0.7600 0.4899 0.8527  10 Se 3.02-3.25
Th 0.7400 0.9899 0.6473  10 Se 3.02-3.25
Th 0.2600 0.0101 0.3527  10 Se 3.02-3.25
Th 0.7600 0.9899 0.1473  10 Se 3.02-3.25
Th 0.7400 0.4899 0.3527  10 Se 3.02-3.25
Th 0.2400 0.0101 0.8527  10 Se 3.02-3.25
Th 0.2600 0.5101 0.6473  10 Se 3.02-3.25

Output
E	-6.151	eV per atom



Values of density, in order: 9.03; 9.33; 14.31; 8.22, all in g/cm3.